Record 1
# K2Be2Si3O9, optimized geometry, DFT PBE
data_K2Be2Si3O9
_space_group_name_H-M_alt 'P 1 21/c 1'
_space_group_IT_number 14
_cell_length_a 10.3214
_cell_length_b 6.9869
_cell_length_c 12.2451
_cell_angle_alpha 90.00
_cell_angle_beta 106.67
_cell_angle_gamma 90.00
loop_
_space_group_symop_operation_xyz
'x,y,z'
'-x,-y,-z'
'-x,y+1/2,-z+1/2'
'x,-y+1/2,z+1/2'
loop_
_atom_site_label
_atom_site_type_symbol
_atom_site_fract_x
_atom_site_fract_y
_atom_site_fract_z
_atom_site_occupancy
K1 K 0.0406 0.1255 0.3559 1
K2 K 0.4382 0.6058 0.8520 1
Be1 Be 0.0711 0.5903 0.4584 1
Be2 Be 0.4345 0.5707 0.5571 1
Si1 Si 0.2419 0.1831 0.1262 1
Si2 Si 0.2584 0.0309 0.8186 1
Si3 Si 0.2618 0.6160 0.0807 1
O1 O 0.0985 0.0752 0.0662 1
O2 O 0.1213 0.7004 0.0009 1
O3 O 0.1240 0.5073 0.3568 1
O4 O 0.2415 0.2450 0.7560 1
O5 O 0.2588 0.1196 0.5549 1
O6 O 0.2652 0.6273 0.2183 1
O7 O 0.3723 0.0510 0.1393 1
O8 O 0.3979 0.7040 0.0599 1
O9 O 0.3992 0.0193 0.9217 1
# crystal system: monoclinic
# formation energy without anion corrections: -2.68 eV/atom

***

Record 2
# ZnCrSb2, optimized geometry, DFT PBE
data_ZnCrSb2
_space_group_name_H-M_alt 'P 4/m m m'
_space_group_IT_number 123
_space_group_name_Hall '-P 4 2'
_cell_length_a 3.2663
_cell_length_b 3.2663
_cell_length_c 8.0778
_cell_angle_alpha 90.00
_cell_angle_beta 90.00
_cell_angle_gamma 90.00
loop_
_atom_site_label
_atom_site_type_symbol
_atom_site_fract_x
_atom_site_fract_y
_atom_site_fract_z
_atom_site_occupancy
Zn1 Zn 0.0000 0.0000 0.0000 1
Cr1 Cr 0.0000 0.0000 0.5000 1
Sb1 Sb 0.5000 0.5000 0.2775 1
# crystal system: tetragonal
# formation energy without anion corrections: 0.27 eV/atom

***

Record 3
# AgTeF2, optimized geometry, DFT PBE
data_AgTeF2
_space_group_name_H-M_alt 'R -3 m'
_space_group_IT_number 166
_space_group_name_Hall '-R 3 2"'
_cell_length_a 3.3276
_cell_length_b 3.3276
_cell_length_c 23.3090
_cell_angle_alpha 90.00
_cell_angle_beta 90.00
_cell_angle_gamma 120.00
loop_
_atom_site_label
_atom_site_type_symbol
_atom_site_fract_x
_atom_site_fract_y
_atom_site_fract_z
_atom_site_occupancy
Ag1 Ag 0.0000 0.0000 0.0000 1
Te1 Te 0.0000 0.0000 0.5000 1
F1 F 0.0000 0.0000 0.4080 1
# crystal system: trigonal
# formation energy without anion corrections: -1.00 eV/atom
# relative energy among the computed polymorphs: 0 kJ/mol of formula units

***

Record 4
# BaZn2Fe, optimized geometry, DFT PBE
data_BaZn2Fe
_space_group_name_H-M_alt 'F -4 3 m'
_space_group_IT_number 216
_space_group_name_Hall 'F -4 2 3'
_cell_length_a 7.1516
_cell_length_b 7.1516
_cell_length_c 7.1516
_cell_angle_alpha 90.00
_cell_angle_beta 90.00
_cell_angle_gamma 90.00
loop_
_atom_site_label
_atom_site_type_symbol
_atom_site_fract_x
_atom_site_fract_y
_atom_site_fract_z
_atom_site_occupancy
Ba1 Ba 0.0000 0.0000 0.0000 1
Zn1 Zn 0.0000 0.0000 0.5000 1
Zn2 Zn 0.2500 0.2500 0.2500 1
Fe1 Fe 0.2500 0.2500 0.7500 1
# uncorrected energy: -2.69 eV/atom
# crystal system: cubic

***

Record 5
# Tb2InTc, optimized geometry, DFT PBE
data_Tb2InTc
_space_group_name_H-M_alt 'P 4/m m m'
_space_group_IT_number 123
_space_group_name_Hall '-P 4 2'
_cell_length_a 3.5737
_cell_length_b 3.5737
_cell_length_c 7.4624
_cell_angle_alpha 90.00
_cell_angle_beta 90.00
_cell_angle_gamma 90.00
loop_
_atom_site_label
_atom_site_type_symbol
_atom_site_fract_x
_atom_site_fract_y
_atom_site_fract_z
_atom_site_occupancy
Tb1 Tb 0.0000 0.0000 0.2156 1
In1 In 0.5000 0.5000 0.5000 1
Tc1 Tc 0.5000 0.5000 0.0000 1
# crystal system: tetragonal
# relative energy among the computed polymorphs: 0 kJ/mol of formula units

***

Record 6
# Pr8Nd3Sm2, optimized geometry, DFT PBE
data_Pr8Nd3Sm2
_space_group_name_H-M_alt 'C 1 2/m 1'
_space_group_IT_number 12
_cell_length_a 13.4411
_cell_length_b 12.0246
_cell_length_c 6.3052
_cell_angle_alpha 90.00
_cell_angle_beta 113.46
_cell_angle_gamma 90.00
loop_
_space_group_symop_operation_xyz
'x,y,z'
'-x,-y,-z'
'-x,y,-z'
'x,-y,z'
'x+1/2,y+1/2,z'
'-x+1/2,-y+1/2,-z'
'-x+1/2,y+1/2,-z'
'x+1/2,-y+1/2,z'
loop_
_atom_site_label
_atom_site_type_symbol
_atom_site_fract_x
_atom_site_fract_y
_atom_site_fract_z
_atom_site_occupancy
Pr1 Pr 0.0548 0.0000 0.2844 1
Pr2 Pr 0.1529 0.5000 0.5521 1
Pr3 Pr 0.1725 0.2442 0.1727 1
Nd1 Nd 0.0000 0.2561 0.5000 1
Nd2 Nd 0.0000 0.5000 0.0000 1
Sm1 Sm 0.2120 0.0000 0.8512 1
# crystal system: monoclinic
# relative energy among the computed polymorphs: 0 kJ/mol of formula units